(1)
This record from Alexandria via LeMat-Bulk describes KGePb3 after structural relaxation. The functional is PBE.

Computed properties:
- space-group type = Pm-3m
- final energy (eV for the cell shown) = -15.7
- polymorph energy (0 for the lowest one) (meV/atom) = 0
- DOS at the Fermi energy (states/eV per atom) = 1.1457
- crystal system = cubic
- E_form (eV per atom) = 0.219

Cell: 5.7188 5.7188 5.7188 Å, 90.00 90.00 90.00°
With the nearest neighbours (Å) after each atom.
Fractional positions:
K 0.0000 0.0000 0.0000  12 Pb 4.04
Ge 0.5000 0.5000 0.5000  6 Pb 2.86
Pb 0.0000 0.5000 0.5000  2 Ge 2.86
Pb 0.5000 0.0000 0.5000  2 Ge 2.86
Pb 0.5000 0.5000 0.0000  2 Ge 2.86

---

(2)
This record from Alexandria via LeMat-Bulk describes KYTe after structural relaxation. The functional is PBE.

Computed properties:
- space-group type = P-6m2
- final energy (eV for the cell shown) = -12.1
- polymorph energy (0 for the lowest one) (meV/atom) = 326
- DOS at the Fermi energy (states/eV per atom) = 1.0048
- crystal system = hexagonal
- energy relative to the elements, uncorrected (eV per atom) = -0.46

Cell: 5.2245 5.2245 5.1097 Å, 90.00 90.00 120.00°
With the nearest neighbours (Å) after each atom.
Fractional positions:
K 0.0000 0.0000 0.0000  6 Te 3.95, 6 Y 3.95
Y 0.3333 0.6667 0.5000  3 Te 3.02
Te 0.6667 0.3333 0.5000  3 Y 3.02

---

(3)
This record from Alexandria via LeMat-Bulk describes In2HPb2 after structural relaxation. The functional is PBE.

Computed properties:
- space-group type = P4/mbm
- final energy (eV for the cell shown) = -30.2
- polymorph energy (0 for the lowest one) (meV/atom) = 0
- DOS at the Fermi energy (states/eV per atom) = 0.4617
- crystal system = tetragonal

Cell: 6.5580 6.5580 5.7550 Å, 90.00 90.00 90.00°
With the nearest neighbours (Å) after each atom.
Fractional positions:
In 0.1708 0.3292 0.0000  2 H 2.43
In 0.3292 0.8292 0.0000  2 H 2.43
In 0.6708 0.1708 0.0000  2 H 2.43
In 0.8292 0.6708 0.0000  2 H 2.43
H 0.0000 0.0000 0.0000  4 In 2.43
H 0.5000 0.5000 0.0000  4 In 2.43
Pb 0.1856 0.6856 0.5000  2 In 3.17, 5 Pb 3.39-3.44
Pb 0.3144 0.1856 0.5000  2 In 3.17, 5 Pb 3.39-3.44
Pb 0.6856 0.8144 0.5000  2 In 3.17, 5 Pb 3.39-3.44
Pb 0.8144 0.3144 0.5000  2 In 3.17, 5 Pb 3.39-3.44

---

(4)
This record from Alexandria via LeMat-Bulk describes Tb2Y3Er8 after structural relaxation. The functional is PBE.

Computed properties:
- space-group type = C2/m
- final energy (eV for the cell shown) = -62.2
- polymorph energy (0 for the lowest one) (meV/atom) = 0
- DOS at the Fermi energy (states/eV per atom) = 1.2642
- crystal system = monoclinic
- E_form (eV per atom) = 0.229

Cell: 8.6313 8.6313 6.7885 Å, 105.87 105.87 63.76°
With the nearest neighbours (Å) after each atom.
Fractional positions:
Tb 0.2154 0.2154 0.4209  7 Er 3.34-3.48, 3 Y 3.51-3.72
Tb 0.7846 0.7846 0.5791  7 Er 3.34-3.48, 3 Y 3.51-3.72
Y 0.0000 0.0000 0.0000  6 Er 3.11-3.39
Y 0.1741 0.8259 0.5000  1 Y 3.17, 4 Er 3.39-3.46
Y 0.8259 0.1741 0.5000  1 Y 3.17, 4 Er 3.39-3.46
Er 0.1913 0.1913 0.8932  1 Y 3.11, 2 Tb 3.34-3.48, 3 Er 3.41-3.48
Er 0.2005 0.5637 0.8233  5 Er 3.31-3.60, 2 Y 3.39-3.46, 2 Tb 3.42-3.45
Er 0.4181 0.4181 0.2711  6 Er 3.26-3.60, 2 Y 3.39, 1 Tb 3.44
Er 0.4363 0.7995 0.1767  5 Er 3.31-3.60, 2 Y 3.39-3.46, 2 Tb 3.42-3.45
Er 0.5637 0.2005 0.8233  5 Er 3.31-3.60, 2 Y 3.39-3.46, 2 Tb 3.42-3.45
Er 0.5819 0.5819 0.7289  6 Er 3.26-3.60, 2 Y 3.39, 1 Tb 3.44
Er 0.7995 0.4363 0.1767  5 Er 3.31-3.60, 2 Y 3.39-3.46, 2 Tb 3.42-3.45
Er 0.8087 0.8087 0.1068  1 Y 3.11, 2 Tb 3.34-3.48, 3 Er 3.41-3.48

---

(5)
This record from Alexandria via LeMat-Bulk describes Ag2AsO2F4 after structural relaxation. The functional is PBE.

Computed properties:
- space-group type = C2/m
- final energy (eV for the cell shown) = -38.6
- DOS at the Fermi energy (states/eV per atom) = 0.3662
- crystal system = monoclinic
- energy relative to the elements, uncorrected (eV per atom) = -1.20

Cell: 5.6914 5.6914 5.6469 Å, 117.94 117.94 53.34°
With the nearest neighbours (Å) after each atom.
Fractional positions:
Ag 0.2501 0.2501 0.2175  1 O 2.19
Ag 0.7499 0.7499 0.7825  1 O 2.19
As 0.0000 0.0000 0.5000  2 O 1.79, 4 F 1.84
O 0.1954 0.1954 0.7871  1 As 1.79
O 0.8046 0.8046 0.2129  1 As 1.79
F 0.1939 0.6965 0.6679  1 As 1.84
F 0.3035 0.8061 0.3321  1 As 1.84
F 0.6965 0.1939 0.6679  1 As 1.84
F 0.8061 0.3035 0.3321  1 As 1.84

---

(6)
This record from Alexandria via LeMat-Bulk describes YEr3In4 after structural relaxation. The functional is PBE.

Computed properties:
- space-group type = Pmma
- final energy (eV for the cell shown) = -69.5
- DOS at the Fermi energy (states/eV per atom) = 0.5322
- crystal system = orthorhombic
- E_form (eV per atom) = -0.453

Cell: 10.7117 7.1587 5.4524 Å, 90.00 90.00 90.00°
With the nearest neighbours (Å) after each atom.
Fractional positions:
Y 0.0000 0.0000 0.0000  8 In 3.26-3.27, 4 Er 3.55-3.58
Y 0.5000 0.0000 0.0000  8 In 3.26-3.27, 4 Er 3.55-3.58
Er 0.0000 0.5000 0.0000  8 In 3.24-3.25, 2 Er 3.54, 2 Y 3.58
Er 0.2500 0.0000 0.4286  8 In 3.22-3.32, 2 Y 3.55, 2 Er 3.58
Er 0.2500 0.5000 0.4238  8 In 3.22-3.28, 4 Er 3.54-3.58
Er 0.5000 0.5000 0.0000  8 In 3.24-3.25, 2 Er 3.54, 2 Y 3.58
Er 0.7500 0.0000 0.5714  8 In 3.22-3.32, 2 Y 3.55, 2 Er 3.58
Er 0.7500 0.5000 0.5762  8 In 3.22-3.28, 4 Er 3.54-3.58
In 0.0000 0.2520 0.5000  6 Er 3.24-3.25, 2 Y 3.27, 4 In 3.51-3.61
In 0.0000 0.7480 0.5000  6 Er 3.24-3.25, 2 Y 3.27, 4 In 3.51-3.61
In 0.2500 0.2520 0.9172  6 Er 3.22-3.32, 2 Y 3.26, 3 In 3.51-3.55
In 0.2500 0.7480 0.9172  6 Er 3.22-3.32, 2 Y 3.26, 3 In 3.51-3.55
In 0.5000 0.2520 0.5000  6 Er 3.24-3.25, 2 Y 3.27, 4 In 3.51-3.61
In 0.5000 0.7480 0.5000  6 Er 3.24-3.25, 2 Y 3.27, 4 In 3.51-3.61
In 0.7500 0.2520 0.0828  6 Er 3.22-3.32, 2 Y 3.26, 3 In 3.51-3.55
In 0.7500 0.7480 0.0828  6 Er 3.22-3.32, 2 Y 3.26, 3 In 3.51-3.55

---

(7)
This record from Alexandria via LeMat-Bulk describes TiFe2CoH after structural relaxation. The functional is PBE.

Computed properties:
- space-group type = P4/mmm
- final energy (eV for the cell shown) = -36.0
- polymorph energy (0 for the lowest one) (meV/atom) = 16
- DOS at the Fermi energy (states/eV per atom) = 0.9162
- crystal system = tetragonal

Cell: 3.5756 3.5756 3.9307 Å, 90.00 90.00 90.00°
With the nearest neighbours (Å) after each atom.
Fractional positions:
Ti 0.0000 0.0000 0.0000  2 H 1.97
Fe 0.0000 0.5000 0.5000  2 H 1.79
Fe 0.5000 0.0000 0.5000  2 H 1.79
Co 0.5000 0.5000 0.0000  4 Ti 2.53, 8 Fe 2.66
H 0.0000 0.0000 0.5000  4 Fe 1.79, 2 Ti 1.97

---

(8)
This record from Alexandria via LeMat-Bulk describes KAlTl2 after structural relaxation. The functional is PBE.

Computed properties:
- space-group type = R3m
- final energy (eV for the cell shown) = -28.4
- polymorph energy (0 for the lowest one) (meV/atom) = 0
- DOS at the Fermi energy (states/eV per atom) = 0.3019
- crystal system = trigonal
- E_form (eV per atom) = 0.029

Cell: 4.7149 4.7149 21.1136 Å, 90.00 90.00 120.00°
With the nearest neighbours (Å) after each atom.
Fractional positions:
K 0.0000 0.0000 0.0000  6 Tl 3.59-3.66, 1 Al 3.85
K 0.3333 0.6667 0.6667  6 Tl 3.59-3.66, 1 Al 3.85
K 0.6667 0.3333 0.3333  6 Tl 3.59-3.66, 1 Al 3.85
Al 0.0000 0.0000 0.1825  6 Tl 2.85-3.06
Al 0.3333 0.6667 0.8492  6 Tl 2.85-3.06
Al 0.6667 0.3333 0.5158  6 Tl 2.85-3.06
Tl 0.0000 0.0000 0.5559  3 Al 2.85
Tl 0.0000 0.0000 0.7828  3 Al 3.06
Tl 0.3333 0.6667 0.2226  3 Al 2.85
Tl 0.3333 0.6667 0.4495  3 Al 3.06
Tl 0.6667 0.3333 0.1161  3 Al 3.06
Tl 0.6667 0.3333 0.8892  3 Al 2.85

---

Number 1: total magnetic moment 0.000 μB/atom. Number 2: total magnetic moment 0.280 μB/atom. Number 3: total magnetic moment 0.000 μB/atom. Number 4: total magnetic moment 0.000 μB/atom. Number 5: total magnetic moment 0.112 μB/atom. Number 6: total magnetic moment 0.000 μB/atom. Number 7: total magnetic moment 0.766 μB/atom. Number 8: total magnetic moment 0.000 μB/atom.